Entry 1:
PBE-GGA CsPbI, optimized geometry; calculated density = 4.9 g/cm3; VASP energy = -2.74 eV/atom; Fermi-level density of states = 1.2 states/eV per cell; raw formation energy = -16.15 kcal/mol of atoms; space group = P-1 (2)
1.0
6.834 -1.028 0.379
2.717 4.454 -0.470
0.314 -2.139 9.797
I Cs Pb
2 2 2
Direct
0.787 0.514 0.329
0.213 0.486 0.671
0.401 0.173 0.255
0.599 0.827 0.745
0.140 0.682 0.005
0.860 0.318 0.995

Entry 2:
PBE-GGA CsPb4I8, optimized geometry; ΔE to the lowest computed polymorph = 0 meV per atom; calculated density = 4.5 g/cm3; VASP energy = -2.85 eV/atom; Fermi-level density of states = 2.8 states/eV per cell; raw formation energy = -15.93 kcal/mol of atoms; space group = R-3m (166)
1.0
-9.320 2.747 0.289
3.402 -4.846 -7.709
2.916 -7.971 6.297
Cs Pb I
1 4 8
Direct
0.000 0.500 0.500
0.000 0.000 0.000
0.000 0.500 0.000
0.500 0.500 0.000
0.500 0.000 0.000
0.462 0.731 0.194
0.538 0.269 0.806
0.462 0.231 0.196
0.035 0.267 0.804
0.538 0.769 0.804
0.035 0.769 0.804
0.965 0.231 0.196
0.965 0.733 0.196

Entry 3:
PBE-GGA Cs2PbI, optimized geometry; ΔE to the lowest computed polymorph = 62 meV per atom; calculated density = 3.4 g/cm3; VASP energy = -2.18 eV/atom; Fermi-level density of states = 1.6 states/eV per cell; raw formation energy = -10.22 kcal/mol of atoms; space group = I-42d (122)
1.0
-5.132 5.132 5.531
5.132 -5.132 5.531
5.132 5.132 -5.531
Cs Pb I
4 2 2
Direct
0.856 0.375 0.981
0.394 0.875 0.019
0.125 0.144 0.519
0.625 0.606 0.481
0.000 0.000 0.000
0.250 0.750 0.500
0.500 0.500 0.000
0.750 0.250 0.500